Record 1
KRb2Au2 (SCAN, PBEsol geometry); crystal system = tetragonal; polymorph energy (0 for the lowest one) = 0.0 meV per atom; space-group type = P4/mbm; volume = 353 Å³/cell
1.0
-3.113 -2.166 0.715
-1.463 -1.000 -9.399
5.460 -7.853 -0.014
K Au Rb
2 4 4
Cartesian
0.000 0.000 0.000
1.998 -4.427 -4.707
1.847 -6.502 -1.237
2.004 -8.281 -5.939
-0.964 -4.517 -7.461
-1.121 -2.739 -2.760
4.209 -7.201 -3.489
2.167 -5.818 -8.185
-0.212 -1.652 -5.924
1.829 -3.035 -1.228

---

Record 2
Li3OsW (SCAN, PBEsol geometry); crystal system = cubic; space-group type = Pm-3m; volume = 84 Å³/cell
1.0
-1.986 0.212 3.893
-1.041 -4.240 -0.300
3.758 -1.063 1.975
Os W Li
1 1 3
Cartesian
0.365 -2.545 2.784
0.000 0.000 0.000
-0.521 -2.120 -0.150
1.879 -0.531 0.987
-0.993 0.106 1.947

---

Record 3
CoAg2Mo (SCAN, PBEsol geometry); crystal system = cubic; space-group type = F-43m; volume = 58 Å³/cell
1.0
4.353 0.000 0.000
2.177 3.770 0.000
2.177 1.257 3.554
Mo Co Ag
1 1 2
Cartesian
2.177 1.257 0.889
4.353 2.513 1.777
0.000 0.000 0.000
6.530 3.770 2.666

---

Number 1: formation energy -0.27 eV/atom. Number 2: formation energy 2.44 eV/atom. Number 3: formation energy 0.64 eV/atom.